Tl3In2Pb2, optimized geometry, DFT PBE; calculated formation energy = 0.27 eV per formula unit; final energy = -2.82 eV/atom; polymorph energy (0 for the lowest one) = 3.0 kJ per mole of atoms
1.0
2.588 -11.925 0.000
2.588 11.925 0.000
0.000 0.000 3.438
Tl In Pb
3 2 2
direct
0.000 0.000 0.000
0.429 0.571 0.500
0.571 0.429 0.500
0.146 0.854 0.000
0.854 0.146 0.000
0.290 0.710 0.500
0.710 0.290 0.500